A plane-wave DFT calculation with GGA-PBE was carried out for a relaxed Tb2PmPt2 crystal.

Cell: 4.700 4.700 6.938 Å, 112.08 112.08 90.00°
Sites, in units of the cell vectors:
Tb  0.248  0.752  0.500
Tb  0.752  0.248  0.500
Pm  0.000  0.000  0.000
Pt  0.594  0.594  0.223
Pt  0.406  0.406  0.777

## Properties
The calculation puts the polymorph energy (0 for the lowest one) at 145 meV per atom. The space group is C2/m. Its energy relative to the elements is -862 meV/atom.